(1)
CaHgIrN2: PBEsol geometry, meta-GGA SCAN.

Geometry as POSCAR:
```
CaHgIrN2
1.0
4.205 0.000 0.000
0.000 4.205 0.000
0.000 0.000 5.710
Ca Hg Ir N
1 1 1 2
Cartesian
0.000 0.000 0.000
0.000 0.000 2.855
2.103 2.103 2.855
0.000 2.103 0.000
2.103 0.000 0.000
```

Properties
V: 101 Å³/cell
DOS(E_F): 0.700 states/eV per atom
ρ: 7.58 Mg/m³
formation energy from raw total energies: 2.049 eV/atom
electronic total energy: -31.453 eV/atom

(2)
Mg2AgHg2: PBEsol geometry, meta-GGA SCAN.

Geometry as POSCAR:
```
Mg2AgHg2
1.0
7.643 0.000 0.000
0.000 7.643 0.000
0.000 0.000 3.467
Mg Ag Hg
4 2 4
Cartesian
1.240 2.581 0.000
2.581 6.403 0.000
5.061 1.240 0.000
6.403 5.061 0.000
0.000 0.000 1.733
3.821 3.821 1.733
1.068 4.889 1.733
2.754 1.068 1.733
4.889 6.575 1.733
6.575 2.754 1.733
```

Properties
ΔH_f (0 K): -0.222 eV per atom
E above lowest polymorph: 0 meV/atom
V: 202 Å³/cell
DOS(E_F): 0.250 states/eV per atom
ρ: 9.15 Mg/m³
electronic total energy: -35.751 eV/atom

(3)
BaAlW2: PBEsol geometry, meta-GGA SCAN.

Geometry as POSCAR:
```
BaAlW2
1.0
4.209 0.000 0.000
0.000 4.209 0.000
0.000 0.000 8.864
Ba Al W
2 2 4
Cartesian
0.000 0.000 0.000
2.104 2.104 4.432
0.000 0.000 4.432
2.104 2.104 0.000
0.000 2.104 2.216
0.000 2.104 6.648
2.104 0.000 2.216
2.104 0.000 6.648
```

Properties
ΔH_f (0 K): 1.685 eV per atom
V: 157 Å³/cell
DOS(E_F): 0.944 states/eV per atom
ρ: 11.25 Mg/m³
electronic total energy: -44.984 eV/atom

(4)
KAlCo2Bi: PBEsol geometry, meta-GGA SCAN.

Geometry as POSCAR:
```
KAlCo2Bi
1.0
4.878 0.000 0.000
0.000 4.878 0.000
0.000 0.000 6.097
K Al Co Bi
1 1 2 1
Cartesian
0.000 0.000 0.000
2.439 2.439 0.000
0.000 2.439 3.049
2.439 0.000 3.049
0.000 0.000 3.049
```

Properties
ΔH_f (0 K): 1.191 eV per atom
V: 145 Å³/cell
DOS(E_F): 0.526 states/eV per atom
ρ: 4.50 Mg/m³
electronic total energy: -24.663 eV/atom

(5)
BaTeO2: PBEsol geometry, meta-GGA SCAN.

Geometry as POSCAR:
```
BaTeO2
1.0
3.943 0.000 0.000
-1.972 3.415 0.000
0.000 0.000 20.487
Ba Te O
3 3 6
Cartesian
0.000 0.000 0.000
0.000 2.277 13.658
1.972 1.138 6.829
0.000 0.000 10.244
0.000 2.277 3.415
1.972 1.138 17.073
0.000 0.000 8.194
0.000 0.000 12.293
0.000 2.277 1.366
0.000 2.277 5.463
1.972 1.138 15.024
1.972 1.138 19.122
```

Properties
E above lowest polymorph: 0 meV/atom
V: 276 Å³/cell
DOS(E_F): 0.383 states/eV per atom
ρ: 5.36 Mg/m³
formation energy from raw total energies: -1.650 eV/atom
electronic total energy: -23.966 eV/atom

(6)
TcAg3Sb: PBEsol geometry, meta-GGA SCAN.

Geometry as POSCAR:
```
TcAg3Sb
1.0
4.899 0.000 0.000
0.000 4.899 0.000
0.000 0.000 4.899
Tc Ag Sb
1 3 1
Cartesian
0.000 0.000 0.000
0.000 0.000 2.450
0.000 2.450 0.000
2.450 0.000 0.000
2.450 2.450 2.450
```

Properties
V: 118 Å³/cell
DOS(E_F): 0.976 states/eV per atom
ρ: 7.67 Mg/m³
formation energy from raw total energies: 1.444 eV/atom
electronic total energy: -31.841 eV/atom

(7)
YTa2Pt2: PBEsol geometry, meta-GGA SCAN.

Geometry as POSCAR:
```
YTa2Pt2
1.0
4.179 0.000 0.000
0.000 4.179 0.000
0.000 0.000 11.466
Y Ta Pt
2 4 4
Cartesian
0.000 0.000 0.000
2.090 2.090 5.733
0.000 2.090 2.866
0.000 2.090 8.599
2.090 0.000 2.866
2.090 0.000 8.599
0.000 0.000 4.461
0.000 0.000 7.004
2.090 2.090 1.271
2.090 2.090 10.194
```

Properties
ΔH_f (0 K): -0.732 eV per atom
V: 200 Å³/cell
DOS(E_F): 1.081 states/eV per atom
ρ: 13.95 Mg/m³
electronic total energy: -61.012 eV/atom

(8)
SrBe2Sb: PBEsol geometry, meta-GGA SCAN.

Geometry as POSCAR:
```
SrBe2Sb
1.0
6.251 0.000 0.000
0.000 9.971 0.000
-1.362 0.000 2.688
Sr Be Sb
2 4 2
Cartesian
0.000 0.000 0.000
3.125 4.985 0.000
0.882 2.493 1.344
0.882 7.478 1.344
4.007 2.493 1.344
4.007 7.478 1.344
0.000 4.985 0.000
3.125 0.000 0.000
```

Properties
V: 168 Å³/cell
DOS(E_F): 0.464 states/eV per atom
ρ: 4.51 Mg/m³
formation energy from raw total energies: 0.700 eV/atom
electronic total energy: -16.361 eV/atom

(9)
Zr2Co: PBEsol geometry, meta-GGA SCAN.

Geometry as POSCAR:
```
Zr2Co
1.0
6.561 0.000 0.000
-3.281 5.682 0.000
0.000 0.000 4.347
Zr Co
6 3
Cartesian
-0.882 1.528 0.000
-1.964 3.401 2.173
1.764 0.000 0.000
1.317 2.281 2.173
3.927 0.000 2.173
2.398 4.154 0.000
0.000 0.000 2.173
0.000 3.788 0.000
3.281 1.894 0.000
```

Properties
ΔH_f (0 K): -0.134 eV per atom
V: 162 Å³/cell
DOS(E_F): 0.648 states/eV per atom
ρ: 7.42 Mg/m³
electronic total energy: -26.368 eV/atom

(10)
HfMn3Pb: PBEsol geometry, meta-GGA SCAN.

Geometry as POSCAR:
```
HfMn3Pb
1.0
4.836 0.000 0.000
0.000 4.836 0.000
0.000 0.000 4.836
Hf Mn Pb
1 3 1
Cartesian
0.000 0.000 0.000
0.000 2.418 2.418
2.418 0.000 2.418
2.418 2.418 0.000
2.418 2.418 2.418
```

Properties
ΔH_f (0 K): 1.047 eV per atom
V: 113 Å³/cell
DOS(E_F): 1.014 states/eV per atom
ρ: 8.08 Mg/m³
electronic total energy: -37.597 eV/atom

(11)
K2SrAu: PBEsol geometry, meta-GGA SCAN.

Geometry as POSCAR:
```
K2SrAu
1.0
6.187 0.000 0.000
0.000 4.533 0.000
-3.082 0.000 6.817
K Sr Au
2 1 1
Cartesian
0.003 0.000 2.236
3.102 0.000 4.581
3.094 2.266 0.000
0.000 2.266 0.000
```

Properties
ΔH_f (0 K): -0.227 eV per atom
E above lowest polymorph: 0 meV/atom
V: 191 Å³/cell
DOS(E_F): 0.558 states/eV per atom
ρ: 3.15 Mg/m³
electronic total energy: -27.250 eV/atom

(12)
K2CdSb: PBEsol geometry, meta-GGA SCAN.

Geometry as POSCAR:
```
K2CdSb
1.0
3.621 0.000 0.000
-1.811 3.136 0.000
0.000 0.000 34.683
K Cd Sb
6 3 3
Cartesian
0.000 0.000 8.564
0.000 0.000 26.119
0.000 2.091 14.558
0.000 2.091 31.686
1.811 1.045 2.997
1.811 1.045 20.125
0.000 0.000 0.000
0.000 2.091 23.122
1.811 1.045 11.561
0.000 0.000 17.342
0.000 2.091 5.781
1.811 1.045 28.903
```

Properties
E above lowest polymorph: 212 meV/atom
V: 394 Å³/cell
DOS(E_F): 0.431 states/eV per atom
ρ: 3.95 Mg/m³
formation energy from raw total energies: -0.028 eV/atom
electronic total energy: -21.111 eV/atom